Below is a relaxed structure of Tb12SmSc6, with properties calculated at the PBE-GGA level.

The value obtained for the formation energy from the elements is 241 meV per atom.

```
Tb12SmSc6
1.0
-5.233 5.233 5.233
5.233 -5.233 5.233
5.233 5.233 -5.233
Tb Sm Sc
12 1 6
Direct
0.070 0.802 0.267
0.198 0.267 0.465
0.198 0.733 0.930
0.267 0.070 0.802
0.267 0.465 0.198
0.465 0.198 0.267
0.535 0.802 0.733
0.733 0.535 0.802
0.733 0.930 0.198
0.802 0.267 0.070
0.802 0.733 0.535
0.930 0.198 0.733
0.000 0.000 0.000
0.138 0.638 0.500
0.362 0.500 0.862
0.500 0.138 0.638
0.500 0.862 0.362
0.638 0.500 0.138
0.862 0.362 0.500
```